Entry 1:
DFT (PBE) results for a geometry-optimized RbRhSe2 structure.

The calculation puts the total energy at -35.70 eV/cell.

It has space group P2_1/m (No. 11), with a = 3.858 Å, b = 5.097 Å, c = 10.447 Å, α = 90.00°, β = 100.58° and γ = 90.00°. The distinct sites, in fractional coordinates, are Rb at (0.066, 0.250, 0.129), Rh at (0.195, 0.750, 0.388), Se at (0.228, 0.250, 0.457) and Se at (0.387, 0.250, 0.775).

=====

Entry 2:
DFT (PBE) results for a geometry-optimized SmNi2Pt4 structure.

The calculation puts the formation energy from the elements at -0.44 eV/atom.

It has space group Immm (No. 71), with a = 5.137 Å, b = 6.676 Å, c = 6.733 Å, α = 90.00°, β = 90.00° and γ = 90.00°. The distinct sites, in fractional coordinates, are Sm at (0.000, 0.000, 0.000), Ni at (0.249, 0.500, 0.000) and Pt at (0.000, 0.299, 0.300).

=====

Per-record V, Å³/cell: 202 231